Entry 1:
Material: In2SnTe2
Method: DFT, PBE
State: optimized geometry

Calculated values
Energy relative to the lowest polymorph listed for this composition   0.476 eV per formula unit
ΔE_f (raw)   -0.47 eV/f.u.

Lattice parameters (Å, degrees): 8.6534 8.6534 4.1779 90.00 90.00 90.00
Closest atoms and distances in Å follow each position.
Space group P4/mbm (No. 127)
Inequivalent atoms, fractional coordinates:
In  0.1380  0.3620  0.0000 [4 per cell]  6 Te 3.15-3.39, 1 In 3.38
Sn  0.0000  0.0000  0.5000 [2 per cell]  4 Te 3.21
Te  0.1693  0.6693  0.5000 [4 per cell]  6 In 3.15-3.39, 2 Sn 3.21


Entry 2:
Material: CsCu3Sb3
Method: DFT, PBE
State: optimized geometry

Calculated values
ΔE_f (raw)   -0.74 eV/f.u.

Lattice parameters (Å, degrees): 6.4606 6.4606 31.0076 90.00 90.00 120.00
Closest atoms and distances in Å follow each position.
Space group R-3 (No. 148, hexagonal axes)
Inequivalent atoms, fractional coordinates:
Cs  0.0000  0.0000  0.1872 [6 per cell]  3 Sb 3.68, 3 Cs 3.94
Cu  0.0297  0.2488  0.6851 [18 per cell]  5 Cu 2.49-2.67, 3 Sb 2.63-2.71
Sb  0.0156  0.5841  0.7336 [18 per cell]  3 Cu 2.63-2.71


Entry 3:
Material: LaDyTh
Method: DFT, PBE
State: optimized geometry

Calculated values
Formation enthalpy at 0 K   141 meV/atom
Energy relative to the lowest polymorph listed for this composition   0.394 eV per formula unit

Lattice parameters (Å, degrees): 5.7511 5.7511 3.5510 90.00 90.00 120.00
Closest atoms and distances in Å follow each position.
Space group P-6m2 (No. 187)
Inequivalent atoms, fractional coordinates:
La  0.0000  0.0000  0.0000 [1 per cell]  2 La 3.55, 6 Th 3.77, 6 Dy 3.77
Dy  0.6667  0.3333  0.5000 [1 per cell]  3 Th 3.32, 2 Dy 3.55
Th  0.3333  0.6667  0.5000 [1 per cell]  3 Dy 3.32, 2 Th 3.55


Entry 4:
Material: SiTcW2
Method: DFT, PBE
State: optimized geometry

Calculated values
ΔE_f (raw)   0.34 eV/f.u.

Lattice parameters (Å, degrees): 3.2368 3.2368 5.6786 90.00 90.00 90.00
Closest atoms and distances in Å follow each position.
Space group P4/mmm (No. 123)
Inequivalent atoms, fractional coordinates:
Si  0.0000  0.0000  0.0000 [1 per cell]  8 W 2.65, 2 Tc 2.84
Tc  0.0000  0.0000  0.5000 [1 per cell]  8 W 2.74, 2 Si 2.84
W  0.5000  0.5000  0.2344 [2 per cell]  4 Si 2.65, 1 W 2.66, 4 Tc 2.74


Entry 5:
Material: CuNiBr2
Method: DFT, PBE
State: optimized geometry

Calculated values
Energy relative to the lowest polymorph listed for this composition   3.697 eV per formula unit
ΔE_f (raw)   3.25 eV/f.u.

Lattice parameters (Å, degrees): 6.7695 6.7695 6.7695 90.00 90.00 90.00
Closest atoms and distances in Å follow each position.
Space group F-43m (No. 216)
Inequivalent atoms, fractional coordinates:
Cu  0.0000  0.0000  0.0000 [4 per cell]  4 Br 2.93, 4 Ni 2.93
Ni  0.2500  0.2500  0.2500 [4 per cell]  4 Br 2.93, 4 Cu 2.93
Br  0.0000  0.0000  0.5000 [4 per cell]  4 Br 2.93, 4 Ni 2.93
Br  0.2500  0.2500  0.7500 [4 per cell]  4 Br 2.93, 4 Cu 2.93


Entry 6:
Material: ErScRu4
Method: DFT, PBE
State: optimized geometry

Calculated values
Formation enthalpy at 0 K   -336 meV/atom

Lattice parameters (Å, degrees): 7.4290 7.4290 7.4290 90.00 90.00 90.00
Closest atoms and distances in Å follow each position.
Space group F-43m (No. 216)
Inequivalent atoms, fractional coordinates:
Er  0.0000  0.0000  0.0000 [4 per cell]  12 Ru 3.08, 4 Sc 3.22
Sc  0.2500  0.2500  0.7500 [4 per cell]  12 Ru 3.08, 4 Er 3.22
Ru  0.1248  0.1248  0.3752 [16 per cell]  6 Ru 2.62-2.63


Entry 7:
Material: BaAlSb2Pd
Method: DFT, PBE
State: optimized geometry

Calculated values
ΔE_f (raw)   5.40 eV/f.u.

Lattice parameters (Å, degrees): 6.3181 6.3181 5.4204 90.00 90.00 90.00
Closest atoms and distances in Å follow each position.
Space group P4/mmm (No. 123)
Inequivalent atoms, fractional coordinates:
Ba  0.0000  0.0000  0.0000 [1 per cell]  2 Pd 2.71
Al  0.5000  0.5000  0.5000 [1 per cell]  8 Sb 4.16, 4 Pd 4.47
Sb  0.0000  0.5000  0.0000 [2 per cell]  2 Ba 3.16
Pd  0.0000  0.0000  0.5000 [1 per cell]  2 Ba 2.71


Entry 8:
Material: BaSbS2I
Method: DFT, PBE
State: optimized geometry

Calculated values
ΔE_f (raw)   -5.48 eV/f.u.

Lattice parameters (Å, degrees): 8.3506 5.4062 9.2151 90.00 108.95 90.00
Closest atoms and distances in Å follow each position.
Space group P2_1/m (No. 11)
Inequivalent atoms, fractional coordinates:
Ba  0.2122  0.2500  0.4381 [2 per cell]  4 S 3.13-3.47, 1 I 3.49
Sb  0.1444  0.2500  0.9284 [2 per cell]  2 S 2.42-2.49
S  0.0167  0.7500  0.3429 [2 per cell]  1 Sb 2.42
S  0.0686  0.7500  0.9344 [2 per cell]  3 Sb 2.49-2.78
I  0.4392  0.7500  0.6915 [2 per cell]  3 Ba 3.49-3.67